Here is a relaxed structure of Ta2SiSe from Alexandria via LeMat-Bulk. Energies are from PBE.

```
Ta2SiSe
1.0
1.533 0.885 8.303
-1.533 0.885 8.303
0.000 -1.770 8.303
Ta Si Se
2 1 1
Direct
0.248 0.248 0.248 Ta
0.752 0.752 0.752 Ta
0.000 0.000 0.000 Si
0.500 0.500 0.500 Se
```

The value obtained for the formation energy (no corrections) is -0.2 meV/atom. The symmetry is No. 166. As for the spin magnetization: 0.0 μB/f.u. For the energy relative to the lowest polymorph listed for this composition, the calculation gives 0.328 eV per atom.


Here is a relaxed structure of Ta2SiSe from Alexandria via LeMat-Bulk. Energies are from PBE.

```
Ta2SiSe
1.0
-1.968 1.968 4.361
1.968 -1.968 4.361
1.968 1.968 -4.361
Ta Si Se
2 1 1
Direct
0.000 0.000 0.000 Ta
0.750 0.250 0.500 Ta
0.500 0.500 0.000 Si
0.250 0.750 0.500 Se
```

The value obtained for the formation energy (no corrections) is 175.0 meV/atom. The symmetry is No. 119. As for the spin magnetization: 0.0 μB/f.u. For the energy relative to the lowest polymorph listed for this composition, the calculation gives 0.503 eV per atom.


Here is a relaxed structure of TaSiSe3 from Alexandria via LeMat-Bulk. Energies are from PBE.

```
TaSiSe3
1.0
5.026 0.000 0.000
0.000 5.026 0.000
0.000 0.000 5.026
Ta Si Se
1 1 3
Direct
0.000 0.000 0.000 Ta
0.500 0.500 0.500 Si
0.000 0.000 0.500 Se
0.000 0.500 0.000 Se
0.500 0.000 0.000 Se
```

The value obtained for the formation energy (no corrections) is 270.5 meV/atom. The symmetry is No. 221. As for the spin magnetization: 0.7 μB/f.u. For the energy relative to the lowest polymorph listed for this composition, the calculation gives 0.000 eV per atom.


Here is a relaxed structure of Ta2SiSe from Alexandria via LeMat-Bulk. Energies are from PBE.

```
Ta2SiSe
1.0
3.186 0.000 0.000
0.000 3.186 0.000
0.000 0.000 6.478
Ta Si Se
2 1 1
Direct
0.000 0.000 0.232 Ta
0.000 0.000 0.768 Ta
0.500 0.500 0.000 Si
0.500 0.500 0.500 Se
```

The value obtained for the formation energy (no corrections) is -210.3 meV/atom. The symmetry is No. 123. As for the spin magnetization: 0.0 μB/f.u. For the energy relative to the lowest polymorph listed for this composition, the calculation gives 0.118 eV per atom.


Density for the records above, in order: 11.52 11.52 5.83 11.84 Mg/m³